# 1
Density functional theory data (PBE) for a geometry-optimized Tm4Ga3Rh structure.

```
Tm4Ga3Rh
1.0
-2.326 -0.266 -2.998
2.264 -3.357 -1.459
-6.415 -6.748 5.575
Tm Ga Rh
4 3 1
Cartesian
-2.218 -4.111 -0.329
-4.442 -7.542 4.115
-0.897 -0.944 0.780
-5.336 -4.522 2.127
-2.561 -5.564 2.480
-2.727 -2.869 2.370
-7.091 -6.369 3.653
-0.512 -2.317 -1.811
```

Results
E_form (eV per atom): -0.682

# 2
Density functional theory data (PBE) for a geometry-optimized TmGa3Rh structure.

```
TmGa3Rh
1.0
-6.280 0.216 1.171
-0.930 -4.814 -4.100
0.743 -4.199 4.761
Tm Ga Rh
3 9 3
Cartesian
-0.093 -4.507 0.331
-2.768 -1.991 2.966
-3.605 -2.299 -1.465
-3.233 -4.398 0.916
-1.378 -1.874 0.390
-5.515 -4.513 -1.291
-4.555 -4.160 3.794
-1.485 -7.047 0.770
-0.951 -4.284 3.123
-5.089 -6.923 1.441
-1.912 -4.637 -1.963
-4.982 -1.750 1.062
-3.140 0.108 0.585
-0.465 -2.407 -2.050
0.372 -2.099 2.381
```

Results
Excess energy over the best structure of this formula in the dataset (meV/atom): 0
E_form (eV per atom): -0.700

# 3
Density functional theory data (PBE) for a geometry-optimized Tm2Ga5Rh3 structure.

```
Tm2Ga5Rh3
1.0
-4.226 3.397 -1.469
-5.294 0.946 6.675
1.142 7.657 3.681
Tm Ga Rh
4 10 6
Cartesian
-3.534 2.032 4.124
-2.752 6.749 2.043
-4.843 9.968 4.763
-5.625 5.252 6.844
-2.144 8.557 4.475
-8.334 6.004 5.638
-6.234 3.443 4.412
-0.043 5.996 3.249
-5.223 8.416 7.636
-3.154 3.584 1.251
-5.245 6.849 4.076
-3.132 5.151 4.811
-1.042 1.885 1.986
-7.335 10.115 6.901
-3.640 7.355 5.999
-6.827 7.933 5.764
-4.737 4.645 2.888
-1.550 4.067 3.122
-1.056 0.849 -0.367
-3.169 2.548 -1.102
```

Results
Excess energy over the best structure of this formula in the dataset (meV/atom): 0
E_form (eV per atom): -0.792

Q: Look up the E_form of the first one.
A: -0.682 eV per atom

Q: E_form of number 1 (Tm4Ga3Rh)?
A: -0.682 eV per atom

Q: E_form of number 3 (Tm2Ga5Rh3)?
A: -0.792 eV per atom

Q: The highest E_form belongs to which entry?
A: Tm4Ga3Rh